1.
First-principles (PBE) data for TaCdN2Cl after structural relaxation, as listed in Alexandria.

VASP energy   -20.0 eV/cell
Total magnetic moment   0.00 μB/atom
Uncorrected formation energy   2.244 eV per atom

extended XYZ file:
```
5
Lattice="4.237 0.000 0.000 0.000 4.486 0.000 0.000 0.000 4.237" Properties=species:S:1:pos:R:3 pbc="T T T"
N 0.000 0.000 2.118
Cd 2.118 2.243 2.118
Cl 0.000 0.000 0.000
N 2.118 0.000 0.000
Ta 0.000 2.243 0.000
```


2.
First-principles (PBE) data for NaAcTeSe after structural relaxation, as listed in Alexandria.

VASP energy   -35.3 eV/cell
Total magnetic moment   0.00 μB/atom
Uncorrected formation energy   -1.395 eV per atom

extended XYZ file:
```
8
Lattice="-2.505 -3.427 -2.618 -1.363 -2.243 4.240 -8.869 6.167 0.413" Properties=species:S:1:pos:R:3 pbc="T T T"
Te -7.276 2.475 -1.029
Te -3.527 0.857 2.253
Se -1.934 -2.835 0.811
Ac -8.160 4.078 2.468
Ac -2.643 -0.747 -1.244
Se 0.000 0.000 0.000
Na -6.368 0.248 1.018
Na -4.435 3.083 0.206
```


3.
First-principles (PBE) data for Mg2CoNiH6 after structural relaxation, as listed in Alexandria.

VASP energy   -38.3 eV/cell
Total magnetic moment   0.00 μB/atom

extended XYZ file:
```
10
Lattice="-0.663 2.066 -4.165 3.315 -2.739 -1.887 -3.625 -1.924 2.273" Properties=species:S:1:pos:R:3 pbc="T T T"
H 0.196 -1.449 -3.393
H -1.641 -2.421 -2.235
H 0.673 -0.177 -1.544
H -3.272 -1.084 -1.312
Ni -4.286 0.141 -1.892
Mg -1.479 -0.098 -2.459
H -1.322 -3.439 -0.195
H -1.164 -1.150 -0.387
Mg 0.510 -2.500 -1.321
Co -2.297 -2.261 -0.753
```


4.
First-principles (PBE) data for NdTeO4F after structural relaxation, as listed in Alexandria.

VASP energy   -88.3 eV/cell
Total magnetic moment   0.00 μB/atom
Uncorrected formation energy   -2.079 eV per atom

extended XYZ file:
```
14
Lattice="-0.694 2.672 -5.519 -3.942 -3.692 -2.985 -6.270 3.471 0.679" Properties=species:S:1:pos:R:3 pbc="T T T"
O -1.699 1.339 -2.928
Te -3.412 0.639 -2.769
O -4.448 1.619 -1.635
O -8.028 3.420 -5.815
Nd -4.400 -0.417 -6.690
F -9.756 1.885 -7.773
F -1.149 0.566 -0.052
O -4.153 0.363 -4.412
O -9.206 1.112 -4.897
Nd -6.505 2.869 -1.135
O -6.753 2.088 -3.413
O -2.877 -0.969 -2.009
Te -7.494 1.812 -5.056
O -6.458 0.832 -6.190
```


5.
First-principles (PBE) data for CuSiHg2 after structural relaxation, as listed in Alexandria.

VASP energy   -9.0 eV/cell
Total magnetic moment   0.00 μB/atom
Uncorrected formation energy   0.270 eV per atom

extended XYZ file:
```
4
Lattice="-0.080 0.406 -2.922 -2.072 -2.088 -0.234 -6.471 6.304 1.053" Properties=species:S:1:pos:R:3 pbc="T T T"
Cu -5.715 3.678 -0.823
Hg -2.824 0.862 -1.293
Hg -6.159 6.000 1.003
Si -3.632 3.539 0.591
```


6.
First-principles (PBE) data for LaYAg2 after structural relaxation, as listed in Alexandria.

DFT formation energy   -0.096 eV per atom
VASP energy   -17.5 eV/cell
Total magnetic moment   0.00 μB/atom

extended XYZ file:
```
4
Lattice="5.114 0.000 0.000 2.557 4.429 0.000 2.557 1.476 4.176" Properties=species:S:1:pos:R:3 pbc="T T T"
Ag 0.000 0.000 0.000
Ag 7.671 4.429 3.132
Y 2.557 1.476 1.044
La 5.114 2.953 2.088
```


7.
First-principles (PBE) data for SrReSe3 after structural relaxation, as listed in Alexandria.

Energy above the most stable polymorph in this dataset   799 kJ/mol of formula units
VASP energy   -18.3 eV/cell
Total magnetic moment   0.60 μB/atom
Uncorrected formation energy   1.259 eV per atom

extended XYZ file:
```
5
Lattice="-4.910 1.553 2.522 -2.034 -5.318 -0.684 2.153 -1.480 5.105" Properties=species:S:1:pos:R:3 pbc="T T T"
Se -2.455 0.777 1.261
Re -2.395 -2.622 3.471
Se 1.077 -0.740 2.552
Se -1.017 -2.659 -0.342
Sr 0.000 0.000 0.000
```


8.
First-principles (PBE) data for SmCdPd4 after structural relaxation, as listed in Alexandria.

DFT formation energy   -0.610 eV per atom
VASP energy   -60.1 eV/cell
Total magnetic moment   0.00 μB/atom

extended XYZ file:
```
12
Lattice="4.226 0.000 -0.058 0.000 8.103 0.000 -2.034 0.000 6.380" Properties=species:S:1:pos:R:3 pbc="T T T"
Pd 0.054 8.062 4.272
Sm 0.024 6.077 1.979
Sm 2.168 2.026 4.343
Pd 0.054 4.092 4.272
Pd 0.079 6.077 6.322
Cd 0.025 2.026 1.955
Pd 2.139 4.011 2.051
Pd 2.139 0.041 2.051
Pd 0.000 4.051 0.000
Cd 2.168 6.077 4.368
Pd 0.000 0.000 0.000
Pd 2.114 2.026 0.000
```


9.
First-principles (PBE) data for Cd3Ag4Hg2 after structural relaxation, as listed in Alexandria.

Energy above the most stable polymorph in this dataset   0 kJ/mol of formula units
DFT formation energy   0.004 eV per atom
VASP energy   -29.4 eV/cell
Total magnetic moment   0.00 μB/atom

extended XYZ file:
```
18
Lattice="5.938 1.077 0.145 0.391 7.069 -2.457 1.445 -1.206 9.521" Properties=species:S:1:pos:R:3 pbc="T T T"
Ag 6.653 0.169 7.126
Ag 1.799 2.476 2.466
Cd 4.064 7.266 0.089
Cd 4.950 1.754 5.225
Cd 7.257 5.526 7.109
Hg 6.097 2.970 8.095
Ag 4.272 5.017 7.088
Ag 1.121 6.772 0.082
Ag 3.503 1.924 0.121
Cd 3.710 -0.325 7.120
Ag 5.975 4.465 4.743
Ag 4.745 2.997 2.536
Cd 0.518 1.415 0.100
Hg 5.790 5.751 2.005
Ag 3.030 3.944 4.673
Hg 1.985 1.190 5.204
Hg 1.677 3.971 -0.887
Cd 2.824 5.187 1.984
```


10.
First-principles (PBE) data for PrBi4Pd12 after structural relaxation, as listed in Alexandria.

DFT formation energy   0.040 eV per atom
VASP energy   -81.9 eV/cell
Total magnetic moment   0.00 μB/atom

extended XYZ file:
```
17
Lattice="7.905 0.000 0.000 -2.635 7.453 0.000 -2.635 -3.727 6.455" Properties=species:S:1:pos:R:3 pbc="T T T"
Pd 3.724 2.957 3.226
Pd 2.636 -0.223 2.281
Pd 0.001 -1.640 5.507
Pr 0.000 0.000 0.000
Pd 1.089 3.181 0.947
Bi 3.953 0.000 0.000
Pd 4.181 -1.316 4.174
Pd 2.634 5.366 0.947
Pd -2.634 1.863 5.121
Pd -1.089 0.770 3.228
Bi -1.318 -1.863 3.227
Pd 5.269 1.864 1.333
Bi -1.318 3.727 0.000
Bi 1.318 1.863 3.227
Pd -1.546 5.042 2.281
Pd 1.546 0.546 5.507
Pd -0.001 3.949 4.174
```


11.
First-principles (PBE) data for RbSrHgSe2 after structural relaxation, as listed in Alexandria.

VASP energy   -29.5 eV/cell
Total magnetic moment   0.00 μB/atom
Uncorrected formation energy   -0.964 eV per atom

extended XYZ file:
```
10
Lattice="-4.543 1.331 -3.412 -4.193 -5.783 3.328 -2.022 6.448 5.208" Properties=species:S:1:pos:R:3 pbc="T T T"
Se -5.176 2.861 1.359
Hg 0.000 0.000 0.000
Se -8.104 2.802 5.235
Hg -1.011 3.224 2.604
Sr -2.713 2.259 -0.356
Rb -4.272 2.138 5.075
Rb -6.486 -0.142 0.049
Sr -3.852 5.520 2.152
Se -5.582 -0.865 3.766
Se -2.654 -0.806 -0.111
```


12.
First-principles (PBE) data for Cs2HgSbBr6 after structural relaxation, as listed in Alexandria.

VASP energy   -26.6 eV/cell
Total magnetic moment   0.00 μB/atom
Uncorrected formation energy   -1.046 eV per atom

extended XYZ file:
```
10
Lattice="-6.863 -3.039 -3.377 -0.868 -8.129 -0.949 -5.391 -4.133 4.646" Properties=species:S:1:pos:R:3 pbc="T T T"
Br -9.502 -7.403 0.733
Hg -6.561 -7.651 0.160
Sb 0.000 0.000 0.000
Br -7.165 -9.468 -2.157
Br -6.717 -5.268 -1.667
Br -3.620 -7.898 -0.413
Cs -9.842 -11.476 0.240
Br -6.405 -10.033 1.988
Br -5.957 -5.833 2.478
Cs -3.281 -3.825 0.080
```